No. 1
Zr8HO2: optimized geometry, PBE.

The structure belongs to space group C2/m (No. 12); the cell edges are 10.099, 8.013 and 4.781 Å and the angles 90.00°, 90.89° and 90.00°. Symmetry generates all atoms from Zr at (0.117, 0.222, 0.252), Zr at (0.120, 0.500, 0.750), Zr at (0.163, 0.000, 0.747), H at (0.000, 0.000, 0.000) and O at (0.114, 0.500, 0.250).

For the total energy, the calculation gives -185.278 eV per cell. The calculation puts the spin magnetization at 0.000 μB per formula unit. The calculation puts the density of states at the Fermi level at 14.030 states/eV/cell.

=====

No. 2
NaGaAu: optimized geometry, PBE.

The structure belongs to space group F-43m (No. 216); the cell edges are 6.514, 6.514 and 6.514 Å and the angles 90.00°, 90.00° and 90.00°. Symmetry generates all atoms from Na at (0.000, 0.000, 0.000), Ga at (0.000, 0.000, 0.500) and Au at (0.250, 0.250, 0.250).

For the total energy, the calculation gives -32.406 eV per cell. The calculation puts the spin magnetization at 0.000 μB per formula unit. The calculation puts the density of states at the Fermi level at 7.988 states/eV/cell. Its energy of formation is -0.16 eV/atom.

=====

No. 3
Tm2VCd: optimized geometry, PBE.

The structure belongs to space group P4/mmm (No. 123); the cell edges are 3.574, 3.574 and 7.434 Å and the angles 90.00°, 90.00° and 90.00°. Symmetry generates all atoms from Tm at (0.000, 0.000, 0.228), V at (0.500, 0.500, 0.000) and Cd at (0.500, 0.500, 0.500).

For the total energy, the calculation gives -18.998 eV per cell. Its polymorph energy (0 for the lowest one) is 0.00 eV/f.u. The calculation puts the spin magnetization at 3.109 μB per formula unit. The calculation puts the density of states at the Fermi level at 2.884 states/eV/cell. Its energy of formation is -0.01 eV/atom.

=====

No. 4
HoNpS3: optimized geometry, PBE.

The structure belongs to space group Pnma (No. 62); the cell edges are 7.297, 3.912 and 14.984 Å and the angles 90.00°, 90.00° and 90.00°. Symmetry generates all atoms from Ho at (0.237, 0.250, 0.042), Np at (0.139, 0.750, 0.292), S at (0.010, 0.750, 0.107), S at (0.125, 0.250, 0.432) and S at (0.146, 0.750, 0.720).

For the total energy, the calculation gives -154.434 eV per cell. Its polymorph energy (0 for the lowest one) is 0.00 eV/f.u. The calculation puts the spin magnetization at 3.966 μB per formula unit. The calculation puts the density of states at the Fermi level at 29.486 states/eV/cell.

=====

No. 5
BaPd3Au: optimized geometry, PBE.

The structure belongs to space group Pm-3m (No. 221); the cell edges are 5.330, 5.330 and 5.330 Å and the angles 90.00°, 90.00° and 90.00°. Symmetry generates all atoms from Ba at (0.000, 0.000, 0.000), Pd at (0.000, 0.000, 0.500) and Au at (0.500, 0.500, 0.500).

For the total energy, the calculation gives -15.270 eV per cell. Its polymorph energy (0 for the lowest one) is 7.38 eV/f.u. The calculation puts the spin magnetization at 0.000 μB per formula unit. The calculation puts the density of states at the Fermi level at 2.166 states/eV/cell. Its energy of formation is 1.10 eV/atom.

=====

No. 6
Zr4Hg: optimized geometry, PBE.

The structure belongs to space group Pm-3m (No. 221); the cell edges are 5.255, 5.255 and 5.255 Å and the angles 90.00°, 90.00° and 90.00°. Symmetry generates all atoms from Zr at (0.000, 0.000, 0.000), Zr at (0.000, 0.500, 0.500) and Hg at (0.500, 0.500, 0.500).

For the total energy, the calculation gives -29.341 eV per cell. Its polymorph energy (0 for the lowest one) is 5.56 eV/f.u. The calculation puts the spin magnetization at 2.978 μB per formula unit. The calculation puts the density of states at the Fermi level at 8.481 states/eV/cell. Its energy of formation is 1.03 eV/atom.

=====

No. 7
Ac6PrNd12: optimized geometry, PBE.

The structure belongs to space group R-3m (No. 166, hexagonal axes); the cell edges are 14.0901, 14.0901 and 13.2099 Å and the angles 90.00°, 90.00° and 120.00°. Symmetry generates all atoms from Ac at (0.0406, 0.5203, 0.1247), Pr at (0.0000, 0.0000, 0.5000), Nd at (0.0000, 0.2516, 0.0000) and Nd at (0.0931, 0.1862, 0.7616).

For the total energy, the calculation gives -246.824 eV per cell. The calculation puts the spin magnetization at 0.000 μB per formula unit. The calculation puts the density of states at the Fermi level at 113.397 states/eV/cell. Its energy of formation is 0.23 eV/atom.

=====

No. 8
Rb3PuPa3Te8: optimized geometry, PBE.

The structure belongs to space group P4/mmm (No. 123); the cell edges are 7.677, 7.677 and 8.918 Å and the angles 90.00°, 90.00° and 90.00°. Symmetry generates all atoms from Rb at (0.000, 0.000, 0.000), Rb at (0.000, 0.500, 0.000), Pu at (0.500, 0.500, 0.500), Pa at (0.000, 0.000, 0.500), Pa at (0.000, 0.500, 0.500) and Te at (0.247, 0.247, 0.300).

For the total energy, the calculation gives -85.105 eV per cell. The calculation puts the spin magnetization at 9.411 μB per formula unit. The calculation puts the density of states at the Fermi level at 15.446 states/eV/cell.

=====

No. 9
BeNi2: optimized geometry, PBE.

The structure belongs to space group C2/m (No. 12); the cell edges are 9.224, 2.484 and 5.287 Å and the angles 90.00°, 106.79° and 90.00°. Symmetry generates all atoms from Be at (0.147, 0.000, 0.038), Ni at (0.022, 0.500, 0.265) and Ni at (0.192, 0.000, 0.646).

For the total energy, the calculation gives -64.050 eV per cell. The calculation puts the spin magnetization at 0.000 μB per formula unit. The calculation puts the density of states at the Fermi level at 10.282 states/eV/cell. Its energy of formation is -0.24 eV/atom.

=====

No. 10
SbHBr: optimized geometry, PBE.

The structure belongs to space group P1 (No. 1); the cell edges are 5.741, 5.893 and 6.508 Å and the angles 107.87°, 100.03° and 113.22°. Symmetry generates all atoms from Sb at (0.000, 0.000, 0.000), Sb at (0.493, 0.434, 0.371), H at (0.549, 0.182, 0.419), H at (0.865, 0.922, 0.204), Br at (0.260, 0.478, 0.684) and Br at (0.781, 0.314, 0.001).

For the total energy, the calculation gives -18.962 eV per cell. Its polymorph energy (0 for the lowest one) is 0.30 eV/f.u. The calculation puts the spin magnetization at 0.000 μB per formula unit. The calculation puts the density of states at the Fermi level at 0.000 states/eV/cell.

=====

No. 11
Ti7Co2Pb: optimized geometry, PBE.

The structure belongs to space group Cmmm (No. 65); the cell edges are 7.422, 11.770 and 4.446 Å and the angles 90.00°, 90.00° and 90.00°. Symmetry generates all atoms from Ti at (0.000, 0.000, 0.000), Ti at (0.000, 0.227, 0.500), Ti at (0.193, 0.371, 0.000), Co at (0.000, 0.202, 0.000) and Pb at (0.000, 0.500, 0.500).

For the total energy, the calculation gives -141.035 eV per cell. The calculation puts the spin magnetization at 1.972 μB per formula unit. The calculation puts the density of states at the Fermi level at 30.126 states/eV/cell. Its energy of formation is 0.27 eV/atom.

=====

No. 12
PuHfAs: optimized geometry, PBE.

The structure belongs to space group R-3m (No. 166, hexagonal axes); the cell edges are 3.5046, 3.5046 and 34.6653 Å and the angles 90.00°, 90.00° and 120.00°. Symmetry generates all atoms from Pu at (0.0000, 0.0000, 0.1855), Hf at (0.0000, 0.0000, 0.0423) and As at (0.0000, 0.0000, 0.4254).

For the total energy, the calculation gives -179.877 eV per cell. Its polymorph energy (0 for the lowest one) is 0.00 eV/f.u. The calculation puts the spin magnetization at 0.387 μB per formula unit. The calculation puts the density of states at the Fermi level at 20.751 states/eV/cell. Its energy of formation is -0.35 eV/atom.